[1]
4
Lattice="3.220 0.000 0.000 0.000 3.267 0.000 0.000 0.000 5.346" Properties=species:S:1:pos:R:3 comment="FeNi2Sb | Alexandria | PBE | relaxed" e_form_raw_ev_per_atom=0.08 magmom_total_mub_per_cell=3.7 space_group="Pmmm, No. 47" dft_energy_ev_per_atom=-5.96 pbc="T T T"
Fe 0.000 0.000 0.000
Ni 1.610 1.634 1.215
Ni 1.610 1.634 4.131
Sb 0.000 0.000 2.673

***

[2]
8
Lattice="-3.145 3.145 4.689 3.145 -3.145 4.689 3.145 3.145 -4.689" Properties=species:S:1:pos:R:3 comment="FeNiSb2 | Alexandria | PBE | relaxed" e_form_raw_ev_per_atom=0.41 magmom_total_mub_per_cell=4.2 space_group="I-42d, No. 122" dft_energy_ev_per_atom=-5.21 relative_energy_ev_per_atom=0.397 pbc="T T T"
Fe 0.000 0.000 0.000
Fe 0.000 3.145 2.345
Ni 3.145 0.000 2.345
Ni 0.000 0.000 4.689
Sb 1.573 -1.513 3.517
Sb 1.632 1.573 1.172
Sb 1.573 4.658 -1.172
Sb 1.513 1.573 5.861

***

[3]
4
Lattice="-1.895 1.895 3.725 1.895 -1.895 3.725 1.895 1.895 -3.725" Properties=species:S:1:pos:R:3 comment="FeNi2Sb | Alexandria | PBE | relaxed" e_form_raw_ev_per_atom=0.01 magmom_total_mub_per_cell=3.1 space_group="I-4m2, No. 119" dft_energy_ev_per_atom=-6.03 pbc="T T T"
Fe 0.000 0.000 0.000
Ni 0.000 0.000 3.725
Ni 0.000 1.895 1.863
Sb 1.895 0.000 1.863

***

[4]
8
Lattice="-1.875 1.875 8.577 1.875 -1.875 8.577 1.875 1.875 -8.577" Properties=species:S:1:pos:R:3 comment="FeNi2Sb | Alexandria | PBE | relaxed" e_form_raw_ev_per_atom=0.33 magmom_total_mub_per_cell=6.2 space_group="I-42d, No. 122" dft_energy_ev_per_atom=-5.71 pbc="T T T"
Fe 0.000 0.000 0.000
Fe 0.000 1.875 4.288
Ni 2.812 0.869 -2.144
Ni 0.869 0.937 2.144
Ni -0.937 1.006 6.433
Ni 1.006 0.937 10.721
Sb 1.875 0.000 4.288
Sb 0.000 0.000 8.577

***

[5]
4
Lattice="3.792 0.000 0.000 0.000 3.792 0.000 0.000 0.000 3.720" Properties=species:S:1:pos:R:3 comment="FeNi2Sb | Alexandria | PBE | relaxed" e_form_raw_ev_per_atom=-0.01 magmom_total_mub_per_cell=2.7 space_group="P4/mmm, No. 123" dft_energy_ev_per_atom=-6.05 pbc="T T T"
Fe 0.000 0.000 0.000
Ni 0.000 1.896 1.860
Ni 1.896 0.000 1.860
Sb 1.896 1.896 0.000

***

[6]
12
Lattice="2.528 -2.528 0.000 2.528 2.528 0.000 -2.509 0.000 15.516" Properties=species:S:1:pos:R:3 comment="FeNi7Sn2Sb2 | Alexandria | PBE | relaxed" e_form_raw_ev_per_atom=-0.09 magmom_total_mub_per_cell=4.5 space_group="C2/m, No. 12" dft_energy_ev_per_atom=-5.53 pbc="T T T"
Fe 0.000 0.000 0.000
Ni 1.261 1.264 1.751
Ni 0.014 0.000 9.457
Ni 1.287 1.264 13.765
Ni 2.528 0.000 0.000
Ni 1.261 -1.264 1.751
Ni 2.534 0.000 6.059
Ni 1.287 -1.264 13.765
Sn 0.006 0.000 6.686
Sn 2.541 0.000 8.830
Sb 0.021 0.000 11.956
Sb 2.526 0.000 3.560

***

[7]
5
Lattice="4.399 0.000 0.000 0.000 4.399 0.000 0.000 0.000 4.401" Properties=species:S:1:pos:R:3 comment="FeTc2NiSb | Alexandria | PBE | relaxed" e_form_raw_ev_per_atom=1.01 magmom_total_mub_per_cell=0.8 space_group="P4/mmm, No. 123" dft_energy_ev_per_atom=-6.81 pbc="T T T"
Fe 0.000 0.000 0.000
Tc 0.000 2.199 0.000
Tc 2.199 0.000 0.000
Ni 0.000 0.000 2.201
Sb 2.199 2.199 2.201

***

[8]
5
Lattice="4.893 0.000 0.000 0.000 4.893 0.000 0.000 0.000 5.183" Properties=species:S:1:pos:R:3 comment="FeNiSb2Te | Alexandria | PBE | relaxed" e_form_raw_ev_per_atom=0.72 magmom_total_mub_per_cell=3.0 space_group="P4/mmm, No. 123" dft_energy_ev_per_atom=-4.40 relative_energy_ev_per_atom=0.000 pbc="T T T"
Fe 0.000 0.000 0.000
Ni 2.447 2.447 2.591
Sb 0.000 2.447 2.591
Sb 2.447 0.000 2.591
Te 2.447 2.447 0.000

***

[9]
5
Lattice="4.772 0.000 0.000 0.000 4.772 0.000 0.000 0.000 5.194" Properties=species:S:1:pos:R:3 comment="FeNiSb2Te | Alexandria | PBE | relaxed" e_form_raw_ev_per_atom=0.74 magmom_total_mub_per_cell=0.8 space_group="P4/mmm, No. 123" dft_energy_ev_per_atom=-4.38 relative_energy_ev_per_atom=0.019 pbc="T T T"
Fe 0.000 0.000 0.000
Ni 2.386 2.386 2.597
Sb 0.000 2.386 0.000
Sb 2.386 0.000 0.000
Te 0.000 0.000 2.597

***

[10]
5
Lattice="4.565 0.000 0.000 0.000 4.565 0.000 0.000 0.000 4.737" Properties=species:S:1:pos:R:3 comment="FeNi2SbTe | Alexandria | PBE | relaxed" e_form_raw_ev_per_atom=0.75 magmom_total_mub_per_cell=3.2 space_group="P4/mmm, No. 123" dft_energy_ev_per_atom=-4.71 pbc="T T T"
Fe 0.000 0.000 0.000
Ni 0.000 2.283 0.000
Ni 2.283 0.000 0.000
Sb 0.000 0.000 2.368
Te 2.283 2.283 2.368

***

[11]
6
Lattice="2.102 1.213 6.791 -2.102 1.213 6.791 0.000 -2.427 6.791" Properties=species:S:1:pos:R:3 comment="Ti2FeNiSb2 | Alexandria | PBE | relaxed" e_form_raw_ev_per_atom=-0.58 magmom_total_mub_per_cell=0.0 space_group="R3m, No. 160" dft_energy_ev_per_atom=-6.96 pbc="T T T"
Ti 0.000 0.000 0.000
Ti 0.000 0.000 10.041
Fe 0.000 0.000 7.625
Ni 0.000 0.000 17.736
Sb 0.000 0.000 5.056
Sb 0.000 0.000 15.166

***

[12]
12
Lattice="-1.711 1.711 14.626 1.711 -1.711 14.626 1.711 1.711 -14.626" Properties=species:S:1:pos:R:3 comment="Ti2FeNi7Sb2 | Alexandria | PBE | relaxed" e_form_raw_ev_per_atom=-0.09 magmom_total_mub_per_cell=3.5 space_group="I4/mmm, No. 139" dft_energy_ev_per_atom=-6.17 pbc="T T T"
Ti 0.000 0.000 3.639
Ti 0.000 0.000 25.613
Fe 0.000 0.000 14.626
Ni 0.000 0.000 0.000
Ni 1.711 0.000 1.862
Ni 0.000 0.000 6.624
Ni 1.711 0.000 12.764
Ni 0.000 1.711 1.862
Ni 0.000 0.000 22.628
Ni 0.000 1.711 12.764
Sb 0.000 0.000 9.160
Sb 0.000 0.000 20.092